A plane-wave DFT calculation with PBE-GGA was carried out for crystalline Ce5Ga4 at its relaxed geometry.

DFT formation energy (kJ/mol of formula units): -361
Mass density (g/cm3): 7.49
Polymorph energy (0 for the lowest one) (meV per atom): 0

Structure (POSCAR):
```
Ce5Ga4
1.0
5.146 -2.447 0.000
5.146 2.447 0.000
-4.115 0.000 8.627
Ce Ga
5 4
Direct
0.000 0.000 0.000 Ce
0.312 0.312 0.416 Ce
0.394 0.394 0.166 Ce
0.606 0.606 0.834 Ce
0.688 0.688 0.584 Ce
0.005 0.005 0.636 Ga
0.292 0.292 0.808 Ga
0.708 0.708 0.192 Ga
0.995 0.995 0.364 Ga
```

A plane-wave DFT calculation with PBE-GGA was carried out for crystalline Ce3Ga2 at its relaxed geometry.

DFT formation energy (kJ/mol of formula units): -113
Mass density (g/cm3): 7.35

Structure (POSCAR):
```
Ce3Ga2
1.0
3.153 1.820 3.673
-3.153 1.820 3.673
0.000 -3.641 3.673
Ce Ga
3 2
Direct
0.000 0.500 0.500 Ce
0.500 0.000 0.500 Ce
0.500 0.500 0.000 Ce
0.110 0.110 0.110 Ga
0.890 0.890 0.890 Ga
```

A plane-wave DFT calculation with PBE-GGA was carried out for crystalline Ce4Ga at its relaxed geometry.

DFT formation energy (kJ/mol of formula units): 174
Mass density (g/cm3): 5.92
Polymorph energy (0 for the lowest one) (meV per atom): 555

Structure (POSCAR):
```
Ce4Ga
1.0
5.612 0.000 0.000
0.000 5.612 0.000
0.000 0.000 5.612
Ce Ga
4 1
Direct
0.000 0.000 0.000 Ce
0.000 0.500 0.500 Ce
0.500 0.000 0.500 Ce
0.500 0.500 0.000 Ce
0.500 0.500 0.500 Ga
```

A plane-wave DFT calculation with PBE-GGA was carried out for crystalline Ce5Ga3 at its relaxed geometry.

DFT formation energy (kJ/mol of formula units): -246
Mass density (g/cm3): 7.86
Polymorph energy (0 for the lowest one) (meV per atom): 36

Structure (POSCAR):
```
Ce5Ga3
1.0
4.398 -4.703 0.000
4.398 4.703 0.000
0.000 0.000 4.646
Ce Ga
5 3
Direct
0.000 0.000 0.000 Ce
0.000 0.500 0.000 Ce
0.259 0.259 0.500 Ce
0.500 0.000 0.000 Ce
0.741 0.741 0.500 Ce
0.241 0.759 0.500 Ga
0.500 0.500 0.000 Ga
0.759 0.241 0.500 Ga
```